Record 1
DFT (GGA-PBE) results for a relaxed structure of SrSnTe2Rh.

The structure in POSCAR format:
```
SrSnTe2Rh
1.0
5.814 0.000 0.000
0.000 4.935 0.000
0.000 0.000 5.814
Te Sn Sr Rh
2 1 1 1
Direct
0.500 0.000 0.000
0.000 0.000 0.500
0.000 0.000 0.000
0.500 0.500 0.500
0.000 0.500 0.000
```

- total moment (μB per atom) = 0.10
- SG = P4/mmm (123)
- energy relative to the elements, uncorrected (kJ per mole of atoms) = -13
- calculated total energy (eV for the cell shown) = -20.0
- crystal system = tetragonal



Record 2
DFT (GGA-PBE) results for a relaxed structure of Sr2ThSn3Rh4.

The structure in POSCAR format:
```
Sr2ThSn3Rh4
1.0
-1.138 4.087 -1.795
-2.460 0.971 3.772
9.141 4.640 4.766
Sn Sr Rh Th
3 2 4 1
Direct
0.000 0.500 0.121
0.000 0.000 0.500
0.500 0.000 0.879
0.000 0.500 0.775
0.500 0.000 0.225
0.500 0.500 0.000
0.000 0.000 0.000
0.500 0.000 0.641
0.000 0.500 0.359
0.500 0.500 0.500
```

- total moment (μB per atom) = 0.00
- SG = P-4m2 (115)
- formation energy (eV per atom) = -0.683
- calculated total energy (eV for the cell shown) = -59.0
- crystal system = tetragonal



Record 3
DFT (GGA-PBE) results for a relaxed structure of Sr2TlSnRh.

The structure in POSCAR format:
```
Sr2TlSnRh
1.0
5.778 0.000 0.000
0.000 5.778 0.000
0.000 0.000 5.100
Sr Rh Tl Sn
2 1 1 1
Direct
0.500 0.000 0.000
0.000 0.500 0.000
0.000 0.000 0.000
0.500 0.500 0.500
0.000 0.000 0.500
```

- total moment (μB per atom) = 0.00
- SG = P4/mmm (123)
- formation energy (eV per atom) = -0.372
- calculated total energy (eV for the cell shown) = -18.9
- crystal system = tetragonal



Record 4
DFT (GGA-PBE) results for a relaxed structure of Sr2TlSn3Rh4.

The structure in POSCAR format:
```
Sr2TlSn3Rh4
1.0
4.577 0.000 0.000
0.000 4.577 0.000
0.000 0.000 10.953
Rh Sr Tl Sn
4 2 1 3
Direct
0.500 0.500 0.000
0.000 0.000 0.000
0.000 0.500 0.363
0.500 0.000 0.637
0.000 0.500 0.757
0.500 0.000 0.243
0.500 0.500 0.500
0.500 0.000 0.876
0.000 0.000 0.500
0.000 0.500 0.124
```

- total moment (μB per atom) = 0.00
- SG = P-4m2 (115)
- formation energy (eV per atom) = -0.538
- calculated total energy (eV for the cell shown) = -52.5
- crystal system = tetragonal



Record 5
DFT (GGA-PBE) results for a relaxed structure of SrZnSnRh.

The structure in POSCAR format:
```
SrZnSnRh
1.0
-2.744 -0.651 -3.489
-0.347 -4.071 -1.852
-5.242 -2.828 1.766
Sr Rh Sn Zn
1 1 1 1
Direct
0.815 0.815 0.554
0.623 0.623 0.132
0.012 0.012 0.963
0.275 0.275 0.174
```

- total moment (μB per atom) = 0.00
- SG = R3m (160)
- formation energy (eV per atom) = -0.487
- calculated total energy (eV for the cell shown) = -16.3
- crystal system = trigonal



Record 6
DFT (GGA-PBE) results for a relaxed structure of SrZnSn2Rh2.

The structure in POSCAR format:
```
SrZnSn2Rh2
1.0
-3.109 3.590 -0.023
-2.817 -2.421 2.960
2.819 2.471 4.704
Zn Sr Sn Rh
1 1 2 2
Direct
0.000 0.000 0.000
0.000 0.000 0.500
0.500 0.500 0.749
0.500 0.500 0.251
0.000 0.500 0.000
0.500 0.000 0.000
```

- total moment (μB per atom) = 0.00
- SG = P4/mmm (123)
- formation energy (eV per atom) = -0.399
- calculated total energy (eV for the cell shown) = -28.1
- crystal system = tetragonal



Record 7
DFT (GGA-PBE) results for a relaxed structure of Sr2Zn3Sn4Rh.

The structure in POSCAR format:
```
Sr2Zn3Sn4Rh
1.0
-0.823 2.271 4.014
-0.607 -4.096 2.192
10.891 -0.323 2.414
Zn Rh Sn Sr
3 1 4 2
Direct
0.000 0.500 0.141
0.500 0.000 0.859
0.000 0.000 0.500
0.500 0.500 0.500
0.500 0.000 0.620
0.000 0.500 0.380
0.500 0.500 0.000
0.000 0.000 0.000
0.500 0.000 0.264
0.000 0.500 0.736
```

- total moment (μB per atom) = 0.00
- SG = P-4m2 (115)
- formation energy (eV per atom) = -0.395
- calculated total energy (eV for the cell shown) = -34.5
- crystal system = tetragonal



Record 8
DFT (GGA-PBE) results for a relaxed structure of Sr2ZnSn3Rh4.

The structure in POSCAR format:
```
Sr2ZnSn3Rh4
1.0
-3.701 0.369 2.544
-0.561 -4.468 -0.169
6.003 -1.091 8.893
Rh Sn Zn Sr
4 3 1 2
Direct
0.500 0.000 0.626
0.500 0.500 0.000
0.000 0.000 0.000
0.000 0.500 0.374
0.500 0.000 0.871
0.000 0.000 0.500
0.000 0.500 0.129
0.500 0.500 0.500
0.000 0.500 0.749
0.500 0.000 0.251
```

- total moment (μB per atom) = 0.00
- SG = P-4m2 (115)
- formation energy (eV per atom) = -0.598
- calculated total energy (eV for the cell shown) = -52.0
- crystal system = tetragonal